No. 1
9
Lattice="-1.749 2.697 5.724 1.749 -2.697 5.724 1.749 2.697 -5.724" Properties=species:S:1:pos:R:3 comment="GGA+U Na2PaNiO5, relaxed" magmom_total_mub_per_atom=0.111 pbc="T T T"
Na 0.000 0.000 2.372
Na 0.000 0.000 9.075
Pa 0.000 2.697 0.000
Ni 1.749 0.000 0.000
O 0.000 0.000 0.000
O 1.749 1.538 -1.266
O 1.749 1.538 1.266
O 0.000 1.159 4.458
O 0.000 1.159 6.990

***

No. 2
14
Lattice="-3.201 3.583 4.339 3.201 -3.583 4.339 3.201 3.583 -4.339" Properties=species:S:1:pos:R:3 comment="GGA+U NaPaNiO4, relaxed" magmom_total_mub_per_atom=0.281 pbc="T T T"
Na 0.000 1.791 1.195
Na 3.201 1.791 3.143
Pa 3.201 0.000 0.000
Pa 0.000 0.000 4.339
Ni 1.600 1.791 -2.169
Ni 1.600 -1.791 2.169
O 3.201 -0.347 2.083
O 3.201 3.236 -2.083
O 1.860 1.791 -0.002
O 4.542 1.791 -0.002
O -1.341 1.791 4.341
O 1.341 1.791 4.341
O 0.000 0.347 6.421
O 0.000 3.930 2.256

***

No. 3
16
Lattice="5.877 0.000 0.000 0.000 5.877 0.000 0.000 0.000 6.453" Properties=species:S:1:pos:R:3 comment="GGA+U Na2PaNiO4, relaxed" magmom_total_mub_per_atom=0.127 pbc="T T T"
Na 0.000 0.000 0.000
Na 0.000 2.938 1.613
Na 2.938 0.000 4.840
Na 2.938 2.938 3.227
Pa 0.000 0.000 3.227
Pa 2.938 2.938 0.000
Ni 0.000 2.938 4.840
Ni 2.938 0.000 1.613
O 1.082 1.219 4.554
O 1.219 4.794 1.900
O 1.719 4.020 5.126
O 1.856 1.719 1.327
O 4.020 4.157 1.327
O 4.157 1.856 5.126
O 4.658 1.082 1.900
O 4.794 4.658 4.554

***

No. 4
10
Lattice="5.059 0.000 0.000 0.000 5.059 0.000 0.000 0.000 5.920" Properties=species:S:1:pos:R:3 comment="GGA+U NaPa2NiO6, relaxed" magmom_total_mub_per_atom=0.065 pbc="T T T"
Na 0.000 0.000 0.000
Pa 0.000 2.529 2.753
Pa 2.529 0.000 2.753
Ni 2.529 2.529 1.074
O 0.000 0.000 3.612
O 1.258 1.258 1.431
O 1.258 3.800 1.431
O 2.529 2.529 3.649
O 3.800 1.258 1.431
O 3.800 3.800 1.431

***

No. 5
16
Lattice="5.464 -3.079 0.000 5.464 3.079 0.000 -3.567 0.000 5.419" Properties=species:S:1:pos:R:3 comment="GGA+U Na4Ni3PbO8, relaxed" magmom_total_mub_per_atom=0.250 pbc="T T T"
Na 0.000 0.000 0.000
Na 2.732 1.539 0.000
Na 2.732 -1.539 0.000
Na 5.464 0.000 0.000
Ni -1.784 0.000 2.710
Ni 0.948 1.539 2.710
Ni 0.948 -1.539 2.710
Pb 3.680 0.000 2.710
O 2.791 1.607 3.868
O 0.119 0.000 3.721
O 4.570 1.607 1.551
O 1.755 0.000 1.592
O 5.605 0.000 3.827
O 2.791 -1.607 3.868
O 7.242 0.000 1.698
O 4.570 -1.607 1.551

***

No. 6
12
Lattice="2.711 -4.745 0.000 2.711 4.745 0.000 -1.773 0.000 5.452" Properties=species:S:1:pos:R:3 comment="GGA+U Na3Ni2PbO6, relaxed" magmom_total_mub_per_atom=0.250 pbc="T T T"
Na 0.000 0.000 0.000
Na 2.711 1.625 0.000
Na 2.711 -1.625 0.000
Ni 1.825 3.167 2.726
Ni 1.825 -3.167 2.726
Pb 1.825 0.000 2.726
O 0.856 1.646 1.604
O -0.049 0.000 3.874
O 0.856 -1.646 1.604
O 2.793 1.646 3.848
O 3.698 0.000 1.579
O 2.793 -1.646 3.848

***

No. 7
12
Lattice="7.330 -1.681 0.000 7.330 1.681 0.000 -1.742 0.000 6.527" Properties=species:S:1:pos:R:3 comment="GGA+U Na3NiPb2O6, relaxed" magmom_total_mub_per_atom=0.168 pbc="T T T"
Na 0.000 0.000 0.000
Na 3.818 0.000 4.360
Na 9.100 0.000 2.167
Ni -0.871 0.000 3.263
Pb 4.675 0.000 1.195
Pb 8.243 0.000 5.332
O 1.244 0.000 3.846
O 2.447 0.000 0.433
O 6.765 0.000 1.843
O 6.153 0.000 4.684
O 10.471 0.000 6.093
O 11.674 0.000 2.680

***

No. 8
15
Lattice="5.770 -3.330 0.000 5.770 3.330 0.000 -3.837 0.000 5.644" Properties=species:S:1:pos:R:3 comment="GGA+U Na3NiPb3O8, relaxed" magmom_total_mub_per_atom=0.135 pbc="T T T"
Na 0.000 0.000 0.000
Na 2.885 1.665 0.000
Na 2.885 -1.665 0.000
Ni -1.919 0.000 2.822
Pb 0.966 1.665 2.822
Pb 0.966 -1.665 2.822
Pb 3.851 0.000 2.822
O -0.078 0.000 3.939
O 2.930 1.737 3.939
O 4.772 1.737 1.706
O 1.928 0.000 1.526
O 5.774 0.000 4.118
O 2.930 -1.737 3.939
O 4.772 -1.737 1.706
O 7.780 0.000 1.705

***

No. 9
8
Lattice="5.514 0.000 0.000 0.000 3.273 0.000 -1.794 0.000 5.490" Properties=species:S:1:pos:R:3 comment="GGA+U Na2NiPbO4, relaxed" magmom_total_mub_per_atom=0.250 pbc="T T T"
Na 0.000 0.000 0.000
Na 2.757 1.636 0.000
Ni -0.897 1.636 2.745
Pb 1.860 0.000 2.745
O 0.017 0.000 3.871
O 0.883 1.636 1.537
O 2.837 1.636 3.954
O 3.703 0.000 1.619

***

No. 10
12
Lattice="2.662 -4.606 0.000 2.662 4.606 0.000 -1.782 0.000 5.300" Properties=species:S:1:pos:R:3 comment="GGA+U Na3Ni2PdO6, relaxed" magmom_total_mub_per_atom=0.250 pbc="T T T"
Na 0.000 0.000 0.000
Na 2.662 1.552 0.000
Na 2.662 -1.552 0.000
Ni 1.771 3.069 2.650
Ni 1.771 -3.069 2.650
Pd 1.771 0.000 2.650
O 0.903 1.511 1.579
O 0.027 0.000 3.714
O 0.903 -1.511 1.579
O 2.639 1.511 3.721
O 3.515 0.000 1.586
O 2.639 -1.511 3.721

***

No. 11
16
Lattice="5.292 -3.053 0.000 5.292 3.053 0.000 -3.531 0.000 5.293" Properties=species:S:1:pos:R:3 comment="GGA+U Na4Ni3PdO8, relaxed" magmom_total_mub_per_atom=0.250 pbc="T T T"
Na 0.000 0.000 0.000
Na 2.646 1.527 0.000
Na 2.646 -1.527 0.000
Na 5.292 0.000 0.000
Ni -1.766 0.000 2.646
Ni 0.880 1.527 2.646
Ni 0.880 -1.527 2.646
Pd 3.526 0.000 2.646
O 0.007 0.000 3.612
O 2.661 1.492 3.731
O 1.804 0.000 1.559
O 4.391 1.492 1.562
O 2.661 -1.492 3.731
O 5.249 0.000 3.734
O 4.391 -1.492 1.562
O 7.045 0.000 1.681

***

No. 12
12
Lattice="2.718 -4.749 0.000 2.718 4.749 0.000 -1.807 0.000 5.281" Properties=species:S:1:pos:R:3 comment="GGA+U Na3NiPd2O6, relaxed" magmom_total_mub_per_atom=0.200 pbc="T T T"
Na 0.000 0.000 0.000
Na 2.718 1.576 0.000
Na 2.718 -1.576 0.000
Ni 1.814 0.000 2.641
Pd 1.814 3.162 2.641
Pd 1.814 -3.162 2.641
O 0.890 1.595 1.573
O -0.019 0.000 3.708
O 0.890 -1.595 1.573
O 2.738 1.595 3.709
O 3.647 0.000 1.573
O 2.738 -1.595 3.709

***

No. 13
14
Lattice="-2.990 3.134 4.458 2.990 -3.134 4.458 2.990 3.134 -4.458" Properties=species:S:1:pos:R:3 comment="GGA+U NaNiPdO4, relaxed" magmom_total_mub_per_atom=0.143 pbc="T T T"
Na 0.000 1.567 1.287
Na 2.990 1.567 3.170
Ni 1.495 1.567 -2.229
Ni 1.495 -1.567 2.229
Pd 2.990 0.000 0.000
Pd 0.000 0.000 4.458
O 2.990 -0.302 2.008
O 2.990 2.832 -2.008
O 1.688 1.567 -0.099
O 4.292 1.567 -0.099
O -1.302 1.567 4.557
O 1.302 1.567 4.557
O 0.000 0.302 6.466
O 0.000 3.436 2.449

***

No. 14
8
Lattice="5.392 0.000 0.000 0.000 3.094 0.000 -1.800 0.000 5.301" Properties=species:S:1:pos:R:3 comment="GGA+U Na2NiPdO4, relaxed" magmom_total_mub_per_atom=0.249 pbc="T T T"
Na 0.000 0.000 0.000
Na 2.696 1.547 0.000
Ni -0.900 1.547 2.650
Pd 1.796 0.000 2.650
O 0.028 0.000 3.728
O 0.954 1.547 1.583
O 2.638 1.547 3.717
O 3.563 0.000 1.573

***

No. 15
12
Lattice="2.923 -5.088 0.000 2.923 5.088 0.000 -1.867 0.000 5.574" Properties=species:S:1:pos:R:3 comment="GGA+U Na3Pm2NiO6, relaxed" magmom_total_mub_per_atom=0.263 pbc="T T T"
Na 0.000 0.000 0.000
Na 2.923 1.528 0.000
Na 2.923 -1.528 0.000
Pm 1.989 3.375 2.787
Pm 1.989 -3.375 2.787
Ni 1.989 0.000 2.787
O 1.090 1.555 1.586
O 0.246 0.000 3.918
O 1.090 -1.555 1.586
O 2.889 1.555 3.988
O 3.732 0.000 1.656
O 2.889 -1.555 3.988

***

No. 16
16
Lattice="5.989 -3.416 0.000 5.989 3.416 0.000 -3.889 0.000 5.633" Properties=species:S:1:pos:R:3 comment="GGA+U Na4Pm3NiO8, relaxed" magmom_total_mub_per_atom=0.195 pbc="T T T"
Na 0.000 0.000 0.000
Na 1.050 1.708 2.816
Na 1.050 -1.708 2.816
Na 5.989 0.000 0.000
Pm -1.944 0.000 2.816
Pm 2.995 1.708 0.000
Pm 2.995 -1.708 0.000
Ni 4.045 0.000 2.816
O -0.101 0.000 4.250
O 2.042 0.000 1.290
O 4.788 1.519 1.585
O 3.301 1.519 4.048
O 4.788 -1.519 1.585
O 3.301 -1.519 4.048
O 6.047 0.000 4.343
O 8.190 0.000 1.382

***

No. 17
18
Lattice="6.687 0.000 0.000 0.000 6.687 0.000 0.000 0.000 5.592" Properties=species:S:1:pos:R:3 comment="GGA+U NaPm2NiO5, relaxed" magmom_total_mub_per_atom=0.112 pbc="T T T"
Na 0.000 0.000 0.000
Na 3.344 3.344 0.000
Pm 1.187 2.156 2.796
Pm 2.156 5.500 2.796
Pm 4.531 1.187 2.796
Pm 5.500 4.531 2.796
Ni 0.000 3.344 0.000
Ni 3.344 0.000 0.000
O 0.000 0.000 2.796
O 0.880 4.224 1.339
O 0.880 4.224 4.253
O 2.463 0.880 1.339
O 2.463 0.880 4.253
O 3.344 3.344 2.796
O 4.224 5.807 1.339
O 4.224 5.807 4.253
O 5.807 2.463 1.339
O 5.807 2.463 4.253

***

No. 18
16
Lattice="5.892 -3.099 0.000 5.892 3.099 0.000 -3.132 0.000 5.318" Properties=species:S:1:pos:R:3 comment="GGA+U Na4NiPt3O8, relaxed" magmom_total_mub_per_atom=0.126 pbc="T T T"
Na 0.000 0.000 0.000
Na 1.380 1.550 2.659
Na 1.380 -1.550 2.659
Na 5.892 0.000 0.000
Ni -1.566 0.000 2.659
Pt 2.946 1.550 0.000
Pt 2.946 -1.550 0.000
Pt 4.326 0.000 2.659
O 4.575 1.521 1.315
O 1.982 0.000 0.956
O 0.455 0.000 4.110
O 4.078 1.521 4.002
O 4.575 -1.521 1.315
O 8.198 0.000 1.208
O 6.670 0.000 4.361
O 4.078 -1.521 4.002

***

No. 19
12
Lattice="2.750 -4.848 0.000 2.750 4.848 0.000 -1.824 0.000 5.222" Properties=species:S:1:pos:R:3 comment="GGA+U Na3NiPt2O6, relaxed" magmom_total_mub_per_atom=0.186 pbc="T T T"
Na 0.000 0.000 0.000
Na 2.750 1.609 0.000
Na 2.750 -1.609 0.000
Ni 1.838 0.000 2.611
Pt 1.838 3.225 2.611
Pt 1.838 -3.225 2.611
O 0.901 1.623 1.569
O -0.019 0.000 3.645
O 0.901 -1.623 1.569
O 2.775 1.623 3.653
O 3.695 0.000 1.577
O 2.775 -1.623 3.653

***

No. 20
12
Lattice="2.682 -4.645 0.000 2.682 4.645 0.000 -1.798 0.000 5.279" Properties=species:S:1:pos:R:3 comment="GGA+U Na3Ni2PtO6, relaxed" magmom_total_mub_per_atom=0.248 pbc="T T T"
Na 0.000 0.000 0.000
Na 2.682 1.580 0.000
Na 2.682 -1.580 0.000
Ni 1.783 3.096 2.640
Ni 1.783 -3.096 2.640
Pt 1.783 0.000 2.640
O 0.916 1.505 1.572
O 0.047 0.000 3.704
O 0.916 -1.505 1.572
O 2.650 1.505 3.707
O 3.519 0.000 1.576
O 2.650 -1.505 3.707

***

Record-wise calculated total energy values, in eV/atom: -6.28 -7.18 -6.36 -7.55 -4.68 -4.74 -4.83 -4.96 -4.85 -4.78 -4.73 -4.90 -4.97 -4.87 -5.84 -6.01 -6.49 -5.11 -5.05 -4.91